(1)
An optimized crystal structure of TeWBr4, computed with PBE.

a b c (Å): 6.125 6.125 6.125
angles (deg): 60.00 60.00 60.00
Element x y z (fractional)
Te1 0.000 0.000 0.000
W1 0.750 0.750 0.750
Br1 0.376 0.376 0.376
Br2 0.376 0.376 0.873
Br3 0.376 0.873 0.376
Br4 0.873 0.376 0.376

Output
DOS(E_F)   8.03 states/eV/cell
Space-group type   F-43m (216)

***

(2)
An optimized crystal structure of TeW2Br, computed with PBE.

a b c (Å): 3.574 3.978 7.435
angles (deg): 90.00 97.54 90.00
Element x y z (fractional)
Te1 0.000 0.000 0.000
W1 0.547 0.000 0.293
W2 0.980 0.500 0.258
Br1 0.386 0.500 0.572

Output
DOS(E_F)   0.94 states/eV/cell
Space-group type   Pm (6)

***

(3)
An optimized crystal structure of TeWBr, computed with PBE.

a b c (Å): 4.642 4.642 4.642
angles (deg): 60.00 60.00 60.00
Element x y z (fractional)
Te1 0.000 0.000 0.000
W1 0.750 0.750 0.750
Br1 0.500 0.500 0.500

Output
DOS(E_F)   3.19 states/eV/cell
Space-group type   F-43m (216)

***

(4)
An optimized crystal structure of TeW2Br, computed with PBE.

a b c (Å): 2.905 4.646 6.107
angles (deg): 90.00 98.56 90.00
Element x y z (fractional)
Te1 0.000 0.000 0.000
W1 0.306 0.500 0.293
W2 0.694 0.500 0.707
Br1 0.500 0.000 0.500

Output
DOS(E_F)   3.08 states/eV/cell
Space-group type   P2/m (10)

***

Number 1: spin magnetization 0.48 μB per atom, total energy -2.3393 eV/atom, uncorrected formation energy 1458 meV/atom. Number 2: spin magnetization 0.00 μB per atom, total energy -7.1528 eV/atom, uncorrected formation energy 527 meV/atom. Number 3: spin magnetization 0.34 μB per atom, total energy -5.3120 eV/atom, uncorrected formation energy 611 meV/atom. Number 4: spin magnetization 0.00 μB per atom, total energy -6.4597 eV/atom, uncorrected formation energy 1221 meV/atom.